A plane-wave DFT calculation with GGA-PBE was carried out for a geometry-optimized Li4DyPt structure.

ΔH_f (0 K) ... -1.283 eV per formula unit
Crystal system ... cubic
Total moment ... 0.00 μB/atom

Cell lengths 5.167, 5.167, 5.167 Å; angles 60.00, 60.00, 60.00 degrees
Sites, in units of the cell vectors:
Li1 0.122 0.122 0.122
Li2 0.122 0.122 0.635
Li3 0.122 0.635 0.122
Li4 0.635 0.122 0.122
Dy1 0.500 0.500 0.500
Pt1 0.750 0.750 0.750